VASP calculation (PBE) on a geometry-optimized KYRu2 structure.

Calculated formation energy   0.69 eV per atom

a b c (Å): 3.342 5.018 9.923
angles (deg): 90.00 90.00 90.00
Space group Cmmm (No. 65)
One atom of each set of equivalent atoms:
K  0.000  0.000  0.000 [2 per cell]
Y  0.000  0.000  0.500 [2 per cell]
Ru  0.000  0.500  0.280 [4 per cell]